No. 1
Compound: LiFeSiO4
Source: Alexandria via LeMat-Bulk
Functional: GGA+U
Structure: relaxed

abc: 5.098 10.345 8.433
angles: 90.00 126.68 90.00
Space group P2_1/c (No. 14)
Inequivalent atoms, fractional coordinates:
1 Li 0.194 0.150 0.008 [4 per cell]
2 Fe 0.307 0.666 0.991 [4 per cell]
3 Si 0.050 0.592 0.235 [4 per cell]
4 O 0.019 0.563 0.762 [4 per cell]
5 O 0.141 0.661 0.438 [4 per cell]
6 O 0.274 0.166 0.456 [4 per cell]
7 O 0.360 0.616 0.225 [4 per cell]

Calculated values
Crystal system ... monoclinic
Excess energy over the best structure of this formula in the dataset ... 19 meV/atom
Fermi-level density of states ... 0.0 states/eV/f.u.
V ... 357 Å³ per cell
Calculated density ... 2884 kg/m³



No. 2
Compound: LiFeSiO4
Source: Alexandria via LeMat-Bulk
Functional: GGA+U
Structure: relaxed

abc: 5.308 11.320 5.936
angles: 90.00 91.06 90.00
Space group P2_1 (No. 4)
Inequivalent atoms, fractional coordinates:
1 Li 0.058 0.000 0.255 [2 per cell]
2 Li 0.433 0.838 0.717 [2 per cell]
3 Fe 0.074 0.244 0.509 [2 per cell]
4 Fe 0.433 0.093 0.982 [2 per cell]
5 Si 0.070 0.754 0.994 [2 per cell]
6 Si 0.430 0.583 0.515 [2 per cell]
7 O 0.002 0.330 0.778 [2 per cell]
8 O 0.017 0.828 0.758 [2 per cell]
9 O 0.084 0.128 0.004 [2 per cell]
10 O 0.123 0.604 0.528 [2 per cell]
11 O 0.376 0.732 0.990 [2 per cell]
12 O 0.426 0.214 0.491 [2 per cell]
13 O 0.463 0.011 0.262 [2 per cell]
14 O 0.500 0.008 0.713 [2 per cell]

Calculated values
Crystal system ... monoclinic
Excess energy over the best structure of this formula in the dataset ... 59 meV/atom
Fermi-level density of states ... 0.0 states/eV/f.u.
V ... 357 Å³ per cell
Calculated density ... 2885 kg/m³



No. 3
Compound: Li3FeSiO5
Source: Alexandria via LeMat-Bulk
Functional: GGA+U
Structure: relaxed

abc: 4.956 5.708 6.656
angles: 104.11 99.52 106.30
Space group P-1 (No. 2)
Inequivalent atoms, fractional coordinates:
1 Li 0.000 0.000 0.000 [1 per cell]
2 Li 0.000 0.500 0.000 [1 per cell]
3 Li 0.198 0.400 0.398 [2 per cell]
4 Li 0.387 0.801 0.821 [2 per cell]
5 Fe 0.197 0.894 0.388 [2 per cell]
6 Si 0.404 0.305 0.812 [2 per cell]
7 O 0.115 0.990 0.714 [2 per cell]
8 O 0.124 0.422 0.703 [2 per cell]
9 O 0.337 0.374 0.081 [2 per cell]
10 O 0.338 0.841 0.116 [2 per cell]
11 O 0.492 0.248 0.543 [2 per cell]

Calculated values
Crystal system ... triclinic
Total DFT energy (no corrections) ... -6.2143 eV/atom
V ... 170 Å³ per cell
Calculated density ... 3617 kg/m³



No. 4
Compound: Li2Fe2Si8O19
Source: Alexandria via LeMat-Bulk
Functional: GGA+U
Structure: relaxed

abc: 4.914 7.430 11.691
angles: 71.56 80.90 71.80
Space group P1 (No. 1)
Inequivalent atoms, fractional coordinates:
1 Li 0.000 0.000 0.000 [1 per cell]
2 Li 0.437 0.033 0.180 [1 per cell]
3 Fe 0.362 0.244 0.926 [1 per cell]
4 Fe 0.933 0.691 0.209 [1 per cell]
5 Si 0.202 0.296 0.459 [1 per cell]
6 Si 0.314 0.701 0.408 [1 per cell]
7 Si 0.465 0.583 0.684 [1 per cell]
8 Si 0.568 0.733 0.037 [1 per cell]
9 Si 0.790 0.305 0.107 [1 per cell]
10 Si 0.804 0.107 0.376 [1 per cell]
11 Si 0.837 0.772 0.768 [1 per cell]
12 Si 0.947 0.188 0.729 [1 per cell]
13 O 0.014 0.882 0.402 [1 per cell]
14 O 0.074 0.295 0.595 [1 per cell]
15 O 0.108 0.168 0.085 [1 per cell]
16 O 0.141 0.142 0.838 [1 per cell]
17 O 0.165 0.618 0.770 [1 per cell]
18 O 0.213 0.524 0.379 [1 per cell]
19 O 0.240 0.741 0.082 [1 per cell]
20 O 0.405 0.611 0.547 [1 per cell]
21 O 0.520 0.135 0.469 [1 per cell]
22 O 0.558 0.767 0.310 [1 per cell]
23 O 0.576 0.338 0.009 [1 per cell]
24 O 0.628 0.349 0.749 [1 per cell]
25 O 0.657 0.729 0.677 [1 per cell]
26 O 0.661 0.913 0.056 [1 per cell]
27 O 0.663 0.729 0.897 [1 per cell]
28 O 0.671 0.181 0.244 [1 per cell]
29 O 0.785 0.523 0.122 [1 per cell]
30 O 0.871 0.995 0.718 [1 per cell]
31 O 0.995 0.247 0.384 [1 per cell]

Calculated values
Crystal system ... triclinic
Excess energy over the best structure of this formula in the dataset ... 16 meV/atom
Fermi-level density of states ... 0.0 states/eV/f.u.
V ... 384 Å³ per cell
Calculated density ... 2830 kg/m³



No. 5
Compound: LiFeSiO4
Source: Alexandria via LeMat-Bulk
Functional: GGA+U
Structure: relaxed

abc: 5.117 10.772 8.191
angles: 90.00 127.92 90.00
Space group P2_1/c (No. 14)
Inequivalent atoms, fractional coordinates:
1 Li 0.204 0.163 0.028 [4 per cell]
2 Fe 0.030 0.585 0.209 [4 per cell]
3 Si 0.296 0.671 0.968 [4 per cell]
4 O 0.024 0.585 0.762 [4 per cell]
5 O 0.154 0.686 0.437 [4 per cell]
6 O 0.355 0.173 0.501 [4 per cell]
7 O 0.364 0.612 0.177 [4 per cell]

Calculated values
Crystal system ... monoclinic
Excess energy over the best structure of this formula in the dataset ... 43 meV/atom
Fermi-level density of states ... 0.0 states/eV/f.u.
V ... 356 Å³ per cell
Calculated density ... 2888 kg/m³



No. 6
Compound: Li6FeSi2O8
Source: Alexandria via LeMat-Bulk
Functional: GGA+U
Structure: relaxed

abc: 5.146 5.534 6.235
angles: 88.47 79.05 85.29
Space group P-1 (No. 2)
Inequivalent atoms, fractional coordinates:
1 Li 0.115 0.251 0.034 [2 per cell]
2 Li 0.281 0.362 0.611 [2 per cell]
3 Li 0.341 0.586 0.191 [2 per cell]
4 Fe 0.000 0.000 0.500 [1 per cell]
5 Si 0.375 0.797 0.722 [2 per cell]
6 O 0.199 0.056 0.776 [2 per cell]
7 O 0.265 0.581 0.897 [2 per cell]
8 O 0.299 0.217 0.294 [2 per cell]
9 O 0.312 0.712 0.483 [2 per cell]

Calculated values
Crystal system ... triclinic
Total DFT energy (no corrections) ... -6.2366 eV/atom
Fermi-level density of states ... 0.0 states/eV/f.u.
V ... 174 Å³ per cell
Calculated density ... 2692 kg/m³



No. 7
Compound: LiFeSiO4
Source: Alexandria via LeMat-Bulk
Functional: GGA+U
Structure: relaxed

abc: 5.610 5.922 7.935
angles: 90.00 90.00 90.00
Space group Imma (No. 74)
Inequivalent atoms, fractional coordinates:
1 Li 0.250 0.250 0.250 [4 per cell]
2 Fe 0.000 0.000 0.000 [4 per cell]
3 Si 0.000 0.250 0.633 [4 per cell]
4 O 0.000 0.018 0.749 [8 per cell]
5 O 0.243 0.250 0.506 [8 per cell]

Calculated values
Crystal system ... orthorhombic
Excess energy over the best structure of this formula in the dataset ... 74 meV/atom
V ... 264 Å³ per cell
Calculated density ... 3902 kg/m³



No. 8
Compound: LiFeSiO4
Source: Alexandria via LeMat-Bulk
Functional: GGA+U
Structure: relaxed

abc: 8.003 5.407 8.515
angles: 90.00 105.96 90.00
Space group Pc (No. 7)
Inequivalent atoms, fractional coordinates:
1 Li 0.000 0.159 0.000 [2 per cell]
2 Li 0.493 0.336 0.304 [2 per cell]
3 Fe 0.369 0.170 0.922 [2 per cell]
4 Fe 0.889 0.347 0.627 [2 per cell]
5 Si 0.124 0.326 0.377 [2 per cell]
6 Si 0.611 0.159 0.683 [2 per cell]
7 O 0.039 0.203 0.515 [2 per cell]
8 O 0.182 0.383 0.927 [2 per cell]
9 O 0.288 0.156 0.359 [2 per cell]
10 O 0.480 0.304 0.770 [2 per cell]
11 O 0.532 0.120 0.132 [2 per cell]
12 O 0.644 0.307 0.522 [2 per cell]
13 O 0.816 0.174 0.798 [2 per cell]
14 O 0.979 0.336 0.196 [2 per cell]

Calculated values
Crystal system ... monoclinic
Excess energy over the best structure of this formula in the dataset ... 59 meV/atom
Fermi-level density of states ... 0.0 states/eV/f.u.
V ... 354 Å³ per cell
Calculated density ... 2904 kg/m³